Entry 1:
Material: Cs2Ni3S4
Method: DFT, PBE-GGA
State: optimized geometry

```
9
Lattice="5.874 -0.032 -0.001 -2.813 5.156 -0.001 -1.531 -2.564 7.550" Properties=species:S:1:pos:R:3 pbc="T T T"
Ni 2.937 -0.016 0.000
Ni 1.530 2.562 -0.001
Ni -1.407 2.578 0.000
Cs 1.530 2.562 5.140
Cs 0.000 -0.001 2.409
S 2.987 1.692 1.417
S 1.456 -0.871 6.132
S -1.458 0.869 6.132
S 0.073 3.432 1.417
```

Summary:
space group: No. 69


Entry 2:
Material: RbAlInHg2
Method: DFT, PBE-GGA
State: optimized geometry

```
5
Lattice="-4.027 -3.630 0.336 0.647 -0.220 5.389 -3.655 4.111 0.606" Properties=species:S:1:pos:R:3 pbc="T T T"
Hg 0.323 -0.110 2.694
Hg -2.014 -1.815 0.168
Al 0.000 0.000 0.000
Rb -3.517 0.131 3.165
In -1.827 2.055 0.303
```

Summary:
formation energy from the elements: -0.6 meV per atom
polymorph energy (0 for the lowest one): 0.0000 eV/atom
space group: No. 123


Entry 3:
Material: Nd4SbPbC
Method: DFT, PBE-GGA
State: optimized geometry

```
14
Lattice="7.106 0.000 0.000 0.000 7.105 0.000 -3.553 0.000 8.225" Properties=species:S:1:pos:R:3 pbc="T T T"
Nd 3.553 1.776 1.483
Nd -1.777 0.000 4.113
Nd 1.777 3.553 4.113
Nd 1.777 0.000 4.113
Nd 3.553 1.776 6.727
Nd 0.000 5.329 1.499
Nd 0.000 5.329 6.742
Nd -1.777 3.553 4.113
C 0.000 5.329 4.128
C 3.553 1.776 4.097
Sb 3.553 5.329 1.818
Sb 0.000 1.776 6.407
Pb 0.000 1.776 1.775
Pb 3.553 5.329 6.450
```

Summary:
space group: No. 63


Entry 4:
Material: CsBiTe2Au
Method: DFT, PBE-GGA
State: optimized geometry

```
10
Lattice="-1.510 -4.614 -4.949 -0.675 -4.691 4.580 -7.835 4.236 -1.559" Properties=species:S:1:pos:R:3 pbc="T T T"
Te -3.548 -5.435 -1.348
Te -7.632 -4.490 -0.982
Te -2.389 -0.579 -0.945
Te -6.472 0.366 -0.580
Au 0.000 0.000 0.000
Au -0.338 -2.346 2.290
Bi -0.924 -3.480 -1.330
Bi -1.262 -5.825 0.960
Cs -5.201 -2.461 -3.288
Cs -4.819 -2.608 1.361
```

Summary:
space group: No. 67


| no. | E_tot (eV/atom) |
| --- | --- |
| 1 | -4.695 |
| 2 | -1.611 |
| 3 | -5.735 |
| 4 | -3.201 |